A geometry-optimized La8Tb5Mg structure. Source: the Alexandria database, functional GGA-PBE.

The structure in POSCAR format:
```
La8Tb5Mg
1.0
-4.957 4.957 5.121
4.957 -4.957 5.121
4.957 4.957 -5.121
La Tb Mg
8 5 1
Cartesian
4.304 1.637 -0.842
1.842 -0.873 2.601
3.115 5.830 -2.520
3.320 -0.653 5.963
4.084 3.115 2.520
1.637 5.610 0.842
0.653 3.320 4.278
0.873 1.842 7.640
7.921 0.979 -0.790
0.979 1.993 0.790
0.000 0.000 5.121
-2.964 3.978 4.331
3.978 2.964 5.910
4.957 0.000 2.560
```

Calculated values
* crystal system: tetragonal
* energy of formation from the pure elements: 0.23 eV per atom
* SG: I-4 (82)